[1]
# Pa2GeRuC, relaxed, DFT PBE
# Spin magnetization (Bohr magnetons per cell): 0.0
# V (Å³/f.u.): 96
# Fermi-level density of states (states/eV per cell): 7.178
# Raw total energy (eV/atom): -8.90
data_Pa2GeRuC
_cell_length_a 6.8628
_cell_length_b 3.7671
_cell_length_c 8.1409
_cell_angle_alpha 90.00
_cell_angle_beta 114.28
_cell_angle_gamma 90.00
_symmetry_space_group_name_H-M 'P 1 21/m 1'
_symmetry_Int_Tables_number 11
loop_
_symmetry_equiv_pos_as_xyz
'x,y,z'
'-x,-y,-z'
'-x,y+1/2,-z'
'x,-y+1/2,z'
loop_
_atom_site_label
_atom_site_fract_x
_atom_site_fract_y
_atom_site_fract_z
_atom_site_occupancy
Pa1 0.1810 0.2500 0.4060 1
Pa2 0.2309 0.7500 0.0087 1
Ge1 0.4604 0.7500 0.7182 1
Ru1 0.2105 0.2500 0.7307 1
C1 0.0378 0.7500 0.1844 1

---

[2]
# PaTc2GeC, relaxed, DFT PBE
# Spin magnetization (Bohr magnetons per cell): 0.0
# V (Å³/f.u.): 79
# Fermi-level density of states (states/eV per cell): 16.887
# Raw total energy (eV/atom): -9.14
data_PaTc2GeC
_cell_length_a 3.4757
_cell_length_b 11.7830
_cell_length_c 7.7610
_cell_angle_alpha 90.00
_cell_angle_beta 90.00
_cell_angle_gamma 90.00
_symmetry_space_group_name_H-M 'C m c m'
_symmetry_Int_Tables_number 63
_symmetry_space_group_name_Hall '-C 2c 2'
loop_
_atom_site_label
_atom_site_fract_x
_atom_site_fract_y
_atom_site_fract_z
_atom_site_occupancy
Pa1 0.0000 0.0342 0.2500 1
Tc1 0.0000 0.3404 0.0542 1
Ge1 0.0000 0.2496 0.7500 1
C1 0.0000 0.5000 0.0000 1

---

[3]
# Pa4GeTe2C, relaxed, DFT PBE
# Spin magnetization (Bohr magnetons per cell): 0.0
# ΔE_f (raw) (kJ/mol of formula units): -413
# V (Å³/f.u.): 197
# Fermi-level density of states (states/eV per cell): 13.999
# Raw total energy (eV/atom): -7.80
data_Pa4GeTe2C
_cell_length_a 6.9883
_cell_length_b 3.8974
_cell_length_c 7.5590
_cell_angle_alpha 90.00
_cell_angle_beta 106.99
_cell_angle_gamma 90.00
_symmetry_space_group_name_H-M 'P 1 2/m 1'
_symmetry_Int_Tables_number 10
loop_
_symmetry_equiv_pos_as_xyz
'x,y,z'
'-x,-y,-z'
'-x,y,-z'
'x,-y,z'
loop_
_atom_site_label
_atom_site_fract_x
_atom_site_fract_y
_atom_site_fract_z
_atom_site_occupancy
Pa1 0.2050 0.0000 0.1925 1
Pa2 0.2309 0.5000 0.7956 1
Ge1 0.5000 0.0000 0.0000 1
Te1 0.0000 0.0000 0.5000 1
Te2 0.5000 0.5000 0.5000 1
C1 0.0000 0.5000 0.0000 1

---

[4]
# Ge3PbC, relaxed, DFT PBE
# Spin magnetization (Bohr magnetons per cell): 1.3
# Offset from the most stable computed form (meV/atom): 1432
# V (Å³/f.u.): 165
# Fermi-level density of states (states/eV per cell): 2.978
# Raw total energy (eV/atom): -3.01
data_Ge3PbC
_cell_length_a 5.4860
_cell_length_b 5.4860
_cell_length_c 5.4860
_cell_angle_alpha 90.00
_cell_angle_beta 90.00
_cell_angle_gamma 90.00
_symmetry_space_group_name_H-M 'P m -3 m'
_symmetry_Int_Tables_number 221
_symmetry_space_group_name_Hall '-P 4 2 3'
loop_
_atom_site_label
_atom_site_fract_x
_atom_site_fract_y
_atom_site_fract_z
_atom_site_occupancy
Ge1 0.0000 0.0000 0.5000 1
Pb1 0.0000 0.0000 0.0000 1
C1 0.5000 0.5000 0.5000 1

---

[5]
# Ge2PbC2, relaxed, DFT PBE
# Spin magnetization (Bohr magnetons per cell): 0.0
# Offset from the most stable computed form (meV/atom): 86
# V (Å³/f.u.): 79
# Fermi-level density of states (states/eV per cell): 3.035
# Raw total energy (eV/atom): -4.98
data_Ge2PbC2
_cell_length_a 4.0464
_cell_length_b 4.0464
_cell_length_c 9.6463
_cell_angle_alpha 90.00
_cell_angle_beta 90.00
_cell_angle_gamma 90.00
_symmetry_space_group_name_H-M 'I 4/m m m'
_symmetry_Int_Tables_number 139
_symmetry_space_group_name_Hall '-I 4 2'
loop_
_atom_site_label
_atom_site_fract_x
_atom_site_fract_y
_atom_site_fract_z
_atom_site_occupancy
Ge1 0.0000 0.0000 0.1739 1
Pb1 0.0000 0.0000 0.5000 1
C1 0.0000 0.5000 0.2500 1

---

[6]
# Ge2PbC, relaxed, DFT PBE
# Spin magnetization (Bohr magnetons per cell): 0.0
# Offset from the most stable computed form (meV/atom): 0
# V (Å³/f.u.): 81
# Fermi-level density of states (states/eV per cell): 1.368
# Raw total energy (eV/atom): -4.86
data_Ge2PbC
_cell_length_a 5.6651
_cell_length_b 5.6651
_cell_length_c 10.1519
_cell_angle_alpha 90.00
_cell_angle_beta 90.00
_cell_angle_gamma 90.00
_symmetry_space_group_name_H-M 'I -4 2 d'
_symmetry_Int_Tables_number 122
_symmetry_space_group_name_Hall 'I -4 2bw'
loop_
_atom_site_label
_atom_site_fract_x
_atom_site_fract_y
_atom_site_fract_z
_atom_site_occupancy
Ge1 0.1473 0.2500 0.1250 1
Pb1 0.0000 0.0000 0.5000 1
C1 0.0000 0.0000 0.0000 1